## Na2H4WO6 (PBE with a Hubbard U)

Data for an optimized crystal structure of Na2H4WO6.

Lattice parameters (Å, degrees): 8.653 10.725 13.903 90.00 90.00 90.00
Atoms (fractional coordinates):
Na 0.156 0.006 0.087
Na 0.156 0.494 0.587
Na 0.240 0.050 0.850
Na 0.240 0.450 0.350
Na 0.260 0.550 0.850
Na 0.260 0.950 0.350
Na 0.344 0.506 0.087
Na 0.344 0.994 0.587
Na 0.656 0.006 0.413
Na 0.656 0.494 0.913
Na 0.740 0.050 0.650
Na 0.740 0.450 0.150
Na 0.760 0.550 0.650
Na 0.760 0.950 0.150
Na 0.844 0.506 0.413
Na 0.844 0.994 0.913
H 0.059 0.675 0.333
H 0.059 0.825 0.833
H 0.065 0.611 0.232
H 0.065 0.889 0.732
H 0.119 0.149 0.670
H 0.119 0.351 0.170
H 0.224 0.720 0.675
H 0.224 0.780 0.175
H 0.276 0.220 0.675
H 0.276 0.280 0.175
H 0.381 0.649 0.670
H 0.381 0.851 0.170
H 0.435 0.111 0.232
H 0.435 0.389 0.732
H 0.441 0.175 0.333
H 0.441 0.325 0.833
H 0.559 0.675 0.167
H 0.559 0.825 0.667
H 0.565 0.611 0.268
H 0.565 0.889 0.768
H 0.619 0.149 0.830
H 0.619 0.351 0.330
H 0.724 0.720 0.825
H 0.724 0.780 0.325
H 0.776 0.220 0.825
H 0.776 0.280 0.325
H 0.881 0.649 0.830
H 0.881 0.851 0.330
H 0.935 0.111 0.268
H 0.935 0.389 0.768
H 0.941 0.175 0.167
H 0.941 0.325 0.667
W 0.012 0.198 0.476
W 0.012 0.302 0.976
W 0.488 0.698 0.476
W 0.488 0.802 0.976
W 0.512 0.198 0.024
W 0.512 0.302 0.524
W 0.988 0.698 0.024
W 0.988 0.802 0.524
O 0.042 0.594 0.300
O 0.042 0.906 0.800
O 0.053 0.679 0.900
O 0.053 0.821 0.400
O 0.059 0.139 0.958
O 0.059 0.361 0.458
O 0.133 0.652 0.113
O 0.133 0.848 0.613
O 0.183 0.104 0.461
O 0.183 0.396 0.961
O 0.225 0.143 0.698
O 0.225 0.357 0.198
O 0.275 0.643 0.698
O 0.275 0.857 0.198
O 0.317 0.604 0.461
O 0.317 0.896 0.961
O 0.367 0.152 0.113
O 0.367 0.348 0.613
O 0.441 0.639 0.958
O 0.441 0.861 0.458
O 0.447 0.179 0.900
O 0.447 0.321 0.400
O 0.458 0.094 0.300
O 0.458 0.406 0.800
O 0.542 0.594 0.200
O 0.542 0.906 0.700
O 0.553 0.679 0.600
O 0.553 0.821 0.100
O 0.559 0.139 0.542
O 0.559 0.361 0.042
O 0.633 0.652 0.387
O 0.633 0.848 0.887
O 0.683 0.104 0.039
O 0.683 0.396 0.539
O 0.725 0.143 0.802
O 0.725 0.357 0.302
O 0.775 0.643 0.802
O 0.775 0.857 0.302
O 0.817 0.604 0.039
O 0.817 0.896 0.539
O 0.867 0.152 0.387
O 0.867 0.348 0.887
O 0.941 0.639 0.542
O 0.941 0.861 0.042
O 0.947 0.179 0.600
O 0.947 0.321 0.100
O 0.958 0.094 0.200
O 0.958 0.406 0.700

Summary:
Total magnetic moment in μB/f.u.: 0.113
Theoretical density in g cm⁻³: 3.4
Energy in Ry per atom: -0.41532